Below is a relaxed structure of LuCdGa2, with properties calculated at the PBE level.

a b c (Å): 3.382 3.382 7.347
angles (deg): 90.00 90.00 90.00
Fractional coordinates of all 4 atoms:
Lu (0.000, 0.000, 0.000)
Cd (0.000, 0.000, 0.500)
Ga (0.500, 0.500, 0.256)
Ga (0.500, 0.500, 0.744)

Calculated density: 8.4 g cm⁻³
Raw total energy: -12.307 eV per cell
V: 21.0 Å³/atom
E above lowest polymorph: 0.176 eV per atom
Crystal system: tetragonal